# 1
Entry from Alexandria via LeMat-Bulk: SrPr2Ho after structural relaxation (GGA-PBE).

Computed properties:
* total moment: 0.00 μB per formula unit
* V: 157.4 Å³/cell
* space-group type: P4/mmm, No. 123
* VASP energy: -3.8425 eV/atom
* energy relative to the lowest polymorph listed for this composition: 23 meV/atom

Geometry as POSCAR:
```
SrPr2Ho
1.0
4.136 0.000 0.000
0.000 4.136 0.000
0.000 0.000 9.204
Sr Pr Ho
1 2 1
Direct
0.000 0.000 0.000
0.500 0.500 0.293
0.500 0.500 0.707
0.000 0.000 0.500
```

---

# 2
Entry from Alexandria via LeMat-Bulk: Sc2TlTe after structural relaxation (GGA-PBE).

Computed properties:
* total moment: 0.00 μB per formula unit
* V: 307.1 Å³/cell
* space-group type: R-3m, No. 166
* VASP energy: -5.1915 eV/atom
* energy relative to the lowest polymorph listed for this composition: 0 meV/atom

Geometry as POSCAR:
```
Sc2TlTe
1.0
3.948 0.000 0.000
-1.974 3.419 0.000
0.000 0.000 22.738
Sc Tl Te
6 3 3
Direct
0.000 0.000 0.247
0.000 0.000 0.753
0.333 0.667 0.419
0.333 0.667 0.914
0.667 0.333 0.086
0.667 0.333 0.581
0.000 0.000 0.000
0.333 0.667 0.667
0.667 0.333 0.333
0.000 0.000 0.500
0.333 0.667 0.167
0.667 0.333 0.833
```

---

# 3
Entry from Alexandria via LeMat-Bulk: Pm2PrTm5Th after structural relaxation (GGA-PBE).

Computed properties:
* total moment: 0.00 μB per formula unit
* V: 576.4 Å³/cell
* space-group type: I4/mcm, No. 140
* VASP energy: -4.6094 eV/atom

Geometry as POSCAR:
```
Pm2PrTm5Th
1.0
-4.335 4.335 7.670
4.335 -4.335 7.670
4.335 4.335 -7.670
Pm Pr Tm Th
4 2 10 2
Direct
0.116 0.616 0.732
0.384 0.116 0.500
0.616 0.884 0.500
0.884 0.384 0.268
0.250 0.750 0.500
0.750 0.250 0.500
0.000 0.000 0.000
0.074 0.150 0.500
0.150 0.650 0.075
0.350 0.426 0.500
0.426 0.926 0.075
0.500 0.500 0.000
0.574 0.074 0.925
0.650 0.574 0.500
0.850 0.350 0.925
0.926 0.850 0.500
0.250 0.250 0.000
0.750 0.750 0.000
```